No. 1
{
  "formula": "EuYLu4",
  "functional": "PBE",
  "state": "optimized geometry",
  "dft_energy_ev_per_atom": -5.555,
  "crystal_system": "cubic",
  "e_form_ev_per_atom": 0.249,
  "lattice_angstrom": [[0.000, 4.655, 4.655], [4.655, 0.000, 4.655], [4.655, 4.655, 0.000]],
  "species": ["Eu", "Y", "Lu", "Lu", "Lu", "Lu"],
  "fractional_positions": [[0.000, 0.000, 0.000], [0.750, 0.750, 0.750], [0.376, 0.376, 0.376], [0.376, 0.376, 0.872], [0.376, 0.872, 0.376], [0.872, 0.376, 0.376]]
}

---

No. 2
{
  "formula": "SrPH6CI3",
  "functional": "PBE",
  "state": "optimized geometry",
  "dft_energy_ev_per_atom": -3.991,
  "crystal_system": "monoclinic",
  "lattice_angstrom": [[6.546, 0.000, 0.000], [0.000, 6.588, 0.000], [-0.452, 0.000, 6.589]],
  "species": ["Sr", "P", "H", "H", "H", "H", "H", "H", "C", "I", "I", "I"],
  "fractional_positions": [[0.000, 0.000, 0.000], [0.607, 0.500, 0.394], [0.321, 0.363, 0.557], [0.321, 0.637, 0.557], [0.493, 0.500, 0.730], [0.514, 0.500, 0.196], [0.734, 0.326, 0.419], [0.734, 0.674, 0.419], [0.416, 0.500, 0.577], [0.006, 0.000, 0.503], [0.500, 0.000, 0.029], [0.980, 0.500, 0.005]]
}

---

No. 3
{
  "formula": "U2InRh2",
  "functional": "PBE",
  "state": "optimized geometry",
  "dft_energy_ev_per_atom": -8.398,
  "crystal_system": "tetragonal",
  "e_form_ev_per_atom": -0.394,
  "lattice_angstrom": [[7.646, 0.000, 0.000], [0.000, 7.646, 0.000], [0.000, 0.000, 3.556]],
  "species": ["U", "U", "U", "U", "In", "In", "Rh", "Rh", "Rh", "Rh"],
  "fractional_positions": [[0.163, 0.337, 0.000], [0.337, 0.837, 0.000], [0.663, 0.163, 0.000], [0.837, 0.663, 0.000], [0.000, 0.000, 0.500], [0.500, 0.500, 0.500], [0.140, 0.640, 0.500], [0.360, 0.140, 0.500], [0.640, 0.860, 0.500], [0.860, 0.360, 0.500]]
}